No. 1
Entry from Alexandria via LeMat-Bulk: a relaxed ZrRuRh2 crystal (PBE).

Results
- ΔE_f: -0.36 eV per atom
- SG: Cmmm (65)
- E: -8.49 eV per atom

abc: 4.7664 4.7664 2.8971
angles: 90.00 90.00 107.82
Closest atoms and distances in Å follow each position.
Atoms (fractional coordinates):
Zr: 0.0000 0.0000 0.0000  8 Rh 2.79, 2 Ru 2.81, 2 Zr 2.90
Ru: 0.5000 0.5000 0.0000  8 Rh 2.79, 2 Zr 2.81, 2 Ru 2.90
Rh: 0.0000 0.5000 0.5000  4 Ru 2.79, 4 Zr 2.79, 4 Rh 2.81-2.90
Rh: 0.5000 0.0000 0.5000  4 Ru 2.79, 4 Zr 2.79, 4 Rh 2.81-2.90


No. 2
Entry from Alexandria via LeMat-Bulk: a relaxed ZrRu2Rh2 crystal (PBE).

Results
- ΔE_f: -0.08 eV per atom
- SG: P4/mbm (127)
- E: -8.44 eV per atom

abc: 7.4996 7.4996 2.8130
angles: 90.00 90.00 90.00
Closest atoms and distances in Å follow each position.
Atoms (fractional coordinates):
Zr: 0.0000 0.0000 0.0000  2 Zr 2.81, 4 Rh 2.97, 8 Ru 3.11
Zr: 0.5000 0.5000 0.0000  2 Zr 2.81, 4 Rh 2.97, 8 Ru 3.11
Ru: 0.1746 0.3254 0.5000  6 Rh 2.57-2.67, 2 Ru 2.81
Ru: 0.3254 0.8254 0.5000  6 Rh 2.57-2.67, 2 Ru 2.81
Ru: 0.6746 0.1746 0.5000  6 Rh 2.57-2.67, 2 Ru 2.81
Ru: 0.8254 0.6746 0.5000  6 Rh 2.57-2.67, 2 Ru 2.81
Rh: 0.1230 0.6230 0.0000  6 Ru 2.57-2.67, 3 Rh 2.61-2.81
Rh: 0.3770 0.1230 0.0000  6 Ru 2.57-2.67, 3 Rh 2.61-2.81
Rh: 0.6230 0.8770 0.0000  6 Ru 2.57-2.67, 3 Rh 2.61-2.81
Rh: 0.8770 0.3770 0.0000  6 Ru 2.57-2.67, 3 Rh 2.61-2.81


No. 3
Entry from Alexandria via LeMat-Bulk: a relaxed ZrRuRh2 crystal (PBE).

Results
- ΔE_f: 0.01 eV per atom
- SG: I-42d (122)
- E: -8.12 eV per atom

abc: 9.5367 9.5367 9.5367
angles: 156.60 156.60 33.33
Closest atoms and distances in Å follow each position.
Atoms (fractional coordinates):
Zr: 0.0000 0.0000 0.0000  4 Rh 2.69, 4 Ru 2.74
Zr: 0.7500 0.2500 0.5000  4 Rh 2.69, 4 Ru 2.74
Ru: 0.2500 0.7500 0.5000  4 Rh 2.64, 4 Zr 2.74
Ru: 0.5000 0.5000 0.0000  4 Rh 2.64, 4 Zr 2.74
Rh: 0.1439 0.6250 0.0189  4 Rh 2.63-2.84, 2 Ru 2.64, 2 Zr 2.69
Rh: 0.3750 0.3939 0.5189  4 Rh 2.63-2.84, 2 Ru 2.64, 2 Zr 2.69
Rh: 0.6061 0.1250 0.9811  4 Rh 2.63-2.84, 2 Ru 2.64, 2 Zr 2.69
Rh: 0.8750 0.8561 0.4811  4 Rh 2.63-2.84, 2 Ru 2.64, 2 Zr 2.69


- What is the ΔE_f in the third record?
  0.01 eV per atom